[1]
Compound: Sm3Y4Tm2
Source: Alexandria
Functional: GGA-PBE
Structure: optimized geometry

a b c (Å): 10.1114 10.1114 6.0766
angles (deg): 95.63 95.63 70.10
Positions (direct):
Sm 0.0978 0.9022 0.7500
Sm 0.2294 0.4358 0.9201
Sm 0.4358 0.2294 0.4201
Sm 0.5642 0.7706 0.5799
Sm 0.7706 0.5642 0.0799
Sm 0.9022 0.0978 0.2500
Y 0.0800 0.3454 0.3533
Y 0.3143 0.5895 0.4844
Y 0.3454 0.0800 0.8533
Y 0.4105 0.6857 0.0156
Y 0.5895 0.3143 0.9844
Y 0.6546 0.9200 0.1467
Y 0.6857 0.4105 0.5156
Y 0.9200 0.6546 0.6467
Tm 0.0222 0.7450 0.1807
Tm 0.2550 0.9778 0.3193
Tm 0.7450 0.0222 0.6807
Tm 0.9778 0.2550 0.8193

* calculated formation energy: 102 meV/atom

=====

[2]
Compound: YHoAlOs
Source: Alexandria
Functional: GGA-PBE
Structure: optimized geometry

a b c (Å): 4.9349 4.9349 4.9349
angles (deg): 60.00 60.00 60.00
Positions (direct):
Y 0.0000 0.0000 0.0000
Ho 0.5000 0.5000 0.5000
Al 0.7500 0.7500 0.7500
Os 0.2500 0.2500 0.2500

* calculated formation energy: -277 meV/atom

=====

[3]
Compound: Li3TmPu2S6
Source: Alexandria
Functional: GGA-PBE
Structure: optimized geometry

a b c (Å): 6.8059 6.8059 6.5356
angles (deg): 99.99 99.99 119.99
Positions (direct):
Li 0.0000 0.0000 0.0000
Li 0.3348 0.6652 0.0000
Li 0.6652 0.3348 0.0000
Tm 0.5000 0.5000 0.5000
Pu 0.1667 0.8333 0.5000
Pu 0.8333 0.1667 0.5000
S 0.0877 0.4165 0.2496
S 0.2546 0.2546 0.7500
S 0.4165 0.0877 0.2496
S 0.5835 0.9123 0.7504
S 0.7454 0.7454 0.2500
S 0.9123 0.5835 0.7504

* formation energy from raw total energies: -1.64 eV/atom

=====

[4]
Compound: NdGa4Pd2Rh
Source: Alexandria
Functional: GGA-PBE
Structure: optimized geometry

a b c (Å): 9.2259 9.2259 9.2259
angles (deg): 26.90 26.90 26.90
Positions (direct):
Nd 0.0000 0.0000 0.0000
Ga 0.1328 0.1328 0.1328
Ga 0.4009 0.4009 0.4009
Ga 0.5991 0.5991 0.5991
Ga 0.8672 0.8672 0.8672
Pd 0.2347 0.2347 0.2347
Pd 0.7653 0.7653 0.7653
Rh 0.5000 0.5000 0.5000

* calculated formation energy: -675 meV/atom

=====

[5]
Compound: B7C3
Source: Alexandria
Functional: GGA-PBE
Structure: optimized geometry

a b c (Å): 11.9224 11.9224 11.9224
angles (deg): 168.39 168.39 16.44
Positions (direct):
B 0.0000 0.0000 0.0000
B 0.0556 0.5556 0.5000
B 0.2035 0.2035 0.0000
B 0.3874 0.3874 0.0000
B 0.4444 0.9444 0.5000
B 0.6126 0.6126 0.0000
B 0.7965 0.7965 0.0000
C 0.2500 0.7500 0.5000
C 0.6576 0.1576 0.5000
C 0.8424 0.3424 0.5000

* calculated formation energy: 471 meV/atom

=====

[6]
Compound: LaTbSm2Y
Source: Alexandria
Functional: GGA-PBE
Structure: optimized geometry

a b c (Å): 8.5437 6.5540 6.3065
angles (deg): 90.00 97.76 90.00
Positions (direct):
La 0.0000 0.0000 0.0000
La 0.0000 0.0000 0.5000
Tb 0.0000 0.4400 0.2500
Tb 0.0000 0.5600 0.7500
Sm 0.3127 0.3151 0.7067
Sm 0.3127 0.6849 0.2067
Sm 0.6873 0.3151 0.7933
Sm 0.6873 0.6849 0.2933
Y 0.5000 0.1664 0.2500
Y 0.5000 0.8336 0.7500

* calculated formation energy: 272 meV/atom

=====

[7]
Compound: La2MgMn
Source: Alexandria
Functional: GGA-PBE
Structure: optimized geometry

a b c (Å): 5.2865 5.2865 5.2865
angles (deg): 60.00 60.00 60.00
Positions (direct):
La 0.0000 0.0000 0.0000
La 0.2500 0.2500 0.2500
Mg 0.5000 0.5000 0.5000
Mn 0.7500 0.7500 0.7500

* calculated formation energy: 221 meV/atom

=====

[8]
Compound: MoHRu2
Source: Alexandria
Functional: GGA-PBE
Structure: optimized geometry

a b c (Å): 4.1705 4.1705 4.1705
angles (deg): 60.00 60.00 60.00
Positions (direct):
Mo 0.0000 0.0000 0.0000
H 0.5000 0.5000 0.5000
Ru 0.2500 0.2500 0.2500
Ru 0.7500 0.7500 0.7500

=====

Number 1: total energy -48.040 eV per formula unit, D(E_F) 13.6 states/eV/f.u.. Number 2: total energy -27.123 eV per formula unit, D(E_F) 1.8 states/eV/f.u.. Number 3: total energy -83.328 eV per formula unit, D(E_F) 17.1 states/eV/f.u.. Number 4: total energy -40.012 eV per formula unit, D(E_F) 4.8 states/eV/f.u.. Number 5: total energy -69.704 eV per formula unit, D(E_F) 1.7 states/eV/f.u.. Number 6: total energy -24.101 eV per formula unit, D(E_F) 7.2 states/eV/f.u.. Number 7: total energy -19.734 eV per formula unit, D(E_F) 4.8 states/eV/f.u.. Number 8: total energy -30.451 eV per formula unit, D(E_F) 3.1 states/eV/f.u..